DFT (PBE) results for a relaxed structure of KMgTcF6.

a b c (Å): 5.480 5.480 11.330
angles (deg): 90.00 90.00 120.00
Atoms (fractional coordinates):
F1 0.632 0.628 0.655
Mg1 0.667 0.333 0.750
Tc1 0.333 0.667 0.750
F2 0.628 0.632 0.155
F3 0.996 0.628 0.845
F4 0.996 0.368 0.655
Tc2 0.667 0.333 0.250
F5 0.628 0.996 0.345
K1 0.000 0.000 0.000
F6 0.368 0.996 0.155
F7 0.368 0.372 0.345
F8 0.372 0.004 0.655
F9 0.004 0.632 0.345
F10 0.004 0.372 0.155
Mg2 0.333 0.667 0.250
F11 0.632 0.004 0.845
K2 0.000 0.000 0.500
F12 0.372 0.368 0.845

Summary:
- Crystal system: trigonal
- Total magnetization: 2.00 μB per formula unit
- E_tot: -47.96 eV/f.u.
- Symmetry: P-31c, No. 163